(1)
Compound: ScIn2Ir
Source: the Alexandria database
Functional: PBE
Structure: relaxed

Cell: 3.172 3.172 8.276 Å, 90.00 90.00 90.00°
Fractional positions:
1 Sc 0.000 0.000 0.000
2 In 0.000 0.000 0.589
3 In 0.500 0.500 0.287
4 Ir 0.500 0.500 0.814

Calculated values
- energy relative to the elements (eV per atom) = -0.3630
- space group = P4mm (99)
- energy (eV per atom) = -5.530

---

(2)
Compound: NbHg2I8
Source: the Alexandria database
Functional: PBE
Structure: relaxed

Cell: 9.134 9.134 7.266 Å, 93.44 93.44 58.07°
Fractional positions:
1 Nb 0.000 0.000 0.000
2 Hg 0.176 0.176 0.628
3 Hg 0.824 0.824 0.372
4 I 0.154 0.154 0.206
5 I 0.162 0.713 0.231
6 I 0.287 0.838 0.769
7 I 0.345 0.345 0.679
8 I 0.655 0.655 0.321
9 I 0.713 0.162 0.231
10 I 0.838 0.287 0.769
11 I 0.846 0.846 0.794

Calculated values
- space group = C2/m (12)
- energy (eV per atom) = -2.404
- formation energy from raw total energies (eV/atom) = -0.31

---

(3)
Compound: La5Tb6Sc2
Source: the Alexandria database
Functional: PBE
Structure: relaxed

Cell: 11.475 20.698 3.634 Å, 90.00 90.00 90.00°
Fractional positions:
1 La 0.000 0.000 0.000
2 La 0.060 0.425 0.000
3 La 0.152 0.725 0.000
4 La 0.348 0.225 0.000
5 La 0.440 0.925 0.000
6 La 0.500 0.500 0.000
7 La 0.560 0.075 0.000
8 La 0.652 0.775 0.000
9 La 0.848 0.275 0.000
10 La 0.940 0.575 0.000
11 Tb 0.078 0.156 0.000
12 Tb 0.169 0.883 0.500
13 Tb 0.227 0.557 0.500
14 Tb 0.273 0.057 0.500
15 Tb 0.331 0.383 0.500
16 Tb 0.422 0.656 0.000
17 Tb 0.578 0.344 0.000
18 Tb 0.669 0.617 0.500
19 Tb 0.727 0.943 0.500
20 Tb 0.773 0.443 0.500
21 Tb 0.831 0.117 0.500
22 Tb 0.922 0.844 0.000
23 Sc 0.110 0.286 0.500
24 Sc 0.390 0.786 0.500
25 Sc 0.610 0.214 0.500
26 Sc 0.890 0.714 0.500

Calculated values
- energy relative to the elements (eV per atom) = 0.0634
- space group = Pbam (55)
- energy (eV per atom) = -4.943

---

(4)
Compound: MnNbSN2
Source: the Alexandria database
Functional: PBE
Structure: relaxed

Cell: 3.974 3.974 5.186 Å, 90.00 90.00 90.00°
Fractional positions:
1 Mn 0.000 0.000 0.000
2 Nb 0.500 0.500 0.500
3 S 0.500 0.500 0.000
4 N 0.000 0.500 0.500
5 N 0.500 0.000 0.500

Calculated values
- E above lowest polymorph (eV/atom) = 0.000
- space group = P4/mmm (123)
- energy (eV per atom) = -7.768
- formation energy from raw total energies (eV/atom) = 0.24